# 1
First-principles (GGA-PBE) data for an optimized crystal structure of NaAlPb, as listed in the Alexandria database.

Calculated values
The value obtained for the volume is 26.96 Å³/atom. The value obtained for the total magnetization is 0.00 μB/f.u. The value obtained for the density of states at the Fermi level is 0.44 states/eV/atom. The value obtained for the formation energy is 0.062 eV per atom.

a b c (Å): 11.4868 4.1789 7.4349
angles (deg): 90.00 114.96 90.00
With the nearest neighbours (Å) after each atom.
Space group C2/m (No. 12)
Inequivalent atoms, fractional coordinates:
Na: 0.0197 0.0000 0.2406 x4  5 Pb 3.24-3.47, 5 Al 3.25-3.51, 1 Na 3.41
Al: 0.1899 0.5000 0.0560 x4  2 Al 2.82, 3 Pb 2.97-2.99
Pb: 0.1754 0.5000 0.6451 x4  3 Al 2.97-2.99, 1 Na 3.24

=====

# 2
First-principles (GGA-PBE) data for an optimized crystal structure of AcPu2O8, as listed in the Alexandria database.

Calculated values
The value obtained for the volume is 14.54 Å³/atom. The value obtained for the total magnetization is 3.00 μB/f.u. The value obtained for the density of states at the Fermi level is 0.92 states/eV/atom. The value obtained for the formation energy (no corrections) is -2.414 eV per atom.

a b c (Å): 5.1619 5.1619 6.0045
angles (deg): 90.00 90.00 90.00
With the nearest neighbours (Å) after each atom.
Space group P4/mmm (No. 123)
Inequivalent atoms, fractional coordinates:
Ac: 0.0000 0.0000 0.0000 x1  8 O 2.55
Pu: 0.0000 0.5000 0.5000 x2  8 O 2.19
O: 0.2494 0.2494 0.2981 x8  2 Pu 2.19, 1 O 2.43

=====

# 3
First-principles (GGA-PBE) data for an optimized crystal structure of Tc3Se4, as listed in the Alexandria database.

Calculated values
The value obtained for the volume is 19.41 Å³/atom. The value obtained for the total magnetization is 0.00 μB/f.u. The value obtained for the density of states at the Fermi level is 0.60 states/eV/atom. The value obtained for the formation energy (no corrections) is -0.160 eV per atom.

a b c (Å): 3.0049 3.0049 30.0893
angles (deg): 90.00 90.00 90.00
With the nearest neighbours (Å) after each atom.
Space group I4/mmm (No. 139)
Inequivalent atoms, fractional coordinates:
Tc: 0.0000 0.0000 0.0000 x2  8 Se 2.64
Tc: 0.0000 0.0000 0.2821 x4  4 Se 2.56
Se: 0.0000 0.0000 0.1704 x4  4 Tc 2.56
Se: 0.0000 0.0000 0.4478 x4  4 Tc 2.64